Record 1
Below is crystalline Pm5Tl2HgRh2 at its relaxed geometry, with properties calculated at the PBE level.

abc: 12.014 12.014 3.799
angles: 90.00 90.00 90.00
Space group P4/mbm (No. 127)
One atom of each set of equivalent atoms:
Pm  0.000  0.500  0.000 (multiplicity 2)
Pm  0.079  0.204  0.000 (multiplicity 8)
Tl  0.173  0.673  0.500 (multiplicity 4)
Hg  0.000  0.000  0.500 (multiplicity 2)
Rh  0.131  0.369  0.500 (multiplicity 4)

The value obtained for the size of the total moment is 0.00 μB/f.u. The calculation puts the calculated formation energy at -5.024 eV per formula unit. As for the total energy: -97.03 eV/cell. The crystal system is tetragonal. Its density of states at the Fermi level is 6.91 states/eV/f.u.

---

Record 2
Below is crystalline PmTmHgRh at its relaxed geometry, with properties calculated at the PBE level.

abc: 7.194 7.194 7.194
angles: 90.00 90.00 90.00
Space group F-43m (No. 216)
One atom of each set of equivalent atoms:
Pm  0.000  0.000  0.000 (multiplicity 4)
Tm  0.000  0.000  0.500 (multiplicity 4)
Hg  0.250  0.250  0.750 (multiplicity 4)
Rh  0.250  0.250  0.250 (multiplicity 4)

The value obtained for the size of the total moment is 0.00 μB/f.u. The calculation puts the calculated formation energy at -2.326 eV per formula unit. As for the total energy: -76.81 eV/cell. The crystal system is cubic. Its density of states at the Fermi level is 2.51 states/eV/f.u.

---

Record 3
Below is crystalline PmZnHgRh at its relaxed geometry, with properties calculated at the PBE level.

abc: 6.866 6.866 6.866
angles: 90.00 90.00 90.00
Space group F-43m (No. 216)
One atom of each set of equivalent atoms:
Pm  0.000  0.000  0.000 (multiplicity 4)
Zn  0.250  0.250  0.250 (multiplicity 4)
Hg  0.000  0.000  0.500 (multiplicity 4)
Rh  0.250  0.250  0.750 (multiplicity 4)

The value obtained for the size of the total moment is 0.00 μB/f.u. The calculation puts the calculated formation energy at -1.119 eV per formula unit. As for the total energy: -59.19 eV/cell. The crystal system is cubic. Its density of states at the Fermi level is 3.19 states/eV/f.u.

---

Record 4
Below is crystalline PmZrHgRh at its relaxed geometry, with properties calculated at the PBE level.

abc: 7.075 7.075 7.075
angles: 90.00 90.00 90.00
Space group F-43m (No. 216)
One atom of each set of equivalent atoms:
Pm  0.000  0.000  0.000 (multiplicity 4)
Zr  0.000  0.000  0.500 (multiplicity 4)
Hg  0.250  0.250  0.250 (multiplicity 4)
Rh  0.250  0.250  0.750 (multiplicity 4)

The value obtained for the size of the total moment is 0.00 μB/f.u. The calculation puts the calculated formation energy at -1.377 eV per formula unit. As for the total energy: -89.32 eV/cell. The crystal system is cubic. Its density of states at the Fermi level is 3.47 states/eV/f.u.

---

Record 5
Below is crystalline Pm4HgRu at its relaxed geometry, with properties calculated at the PBE level.

abc: 8.781 12.893 6.399
angles: 90.00 105.85 90.00
Space group C2/c (No. 15)
One atom of each set of equivalent atoms:
Pm  0.107  0.168  0.041 (multiplicity 8)
Pm  0.211  0.417  0.408 (multiplicity 8)
Hg  0.000  0.375  0.750 (multiplicity 4)
Ru  0.000  0.001  0.250 (multiplicity 4)

The value obtained for the size of the total moment is 0.00 μB/f.u. The calculation puts the energy relative to the lowest polymorph listed for this composition at 26 meV/atom. The calculation puts the calculated formation energy at -1.795 eV per formula unit. As for the total energy: -121.50 eV/cell. The crystal system is monoclinic. Its density of states at the Fermi level is 7.13 states/eV/f.u.

---

Record 6
Below is crystalline Pm12HgRu6 at its relaxed geometry, with properties calculated at the PBE level.

abc: 10.084 10.084 10.084
angles: 90.00 90.00 90.00
Space group Im-3 (No. 204)
One atom of each set of equivalent atoms:
Pm  0.000  0.298  0.197 (multiplicity 24)
Hg  0.000  0.000  0.000 (multiplicity 2)
Ru  0.000  0.122  0.500 (multiplicity 12)

The value obtained for the size of the total moment is 0.00 μB/f.u. The calculation puts the calculated formation energy at -3.982 eV per formula unit. As for the total energy: -233.89 eV/cell. The crystal system is cubic. Its density of states at the Fermi level is 16.70 states/eV/f.u.